A relaxed MgIr3Br crystal, computed with PBE.

POSCAR file:
```
MgIr3Br
1.0
4.678 0.000 0.000
0.000 4.678 0.000
0.000 0.000 4.678
Mg Ir Br
1 3 1
direct
0.000 0.000 0.000
0.000 0.000 0.500
0.000 0.500 0.000
0.500 0.000 0.000
0.500 0.500 0.500
```

Values from the calculation:
- density (g/cm³) = 11.0
- DOS at the Fermi energy (states/eV/atom) = 1.00
- VASP energy (eV/cell) = -19.9
- symmetry = No. 221
- relative energy among the computed polymorphs (eV/atom) = 0.5396